The following is a PBEsol calculation of a relaxed Hf2InMoP crystal, from the Alexandria database.

## Properties
E: -6.499 eV per atom

Cell and atoms, written as extended XYZ:
```
5
Lattice="-1.514 -1.434 -4.353 4.441 -2.363 -0.767 -1.903 -4.245 2.060" Properties=species:S:1:pos:R:3 pbc="T T T"
Mo -0.757 -0.717 -2.176
Hf -0.951 -2.123 1.030
Hf 2.220 -1.181 -0.383
In 0.000 0.000 0.000
P 0.512 -4.021 -1.530
```



The following is a PBEsol calculation of a relaxed SrHfInMo2 crystal, from the Alexandria database.

## Properties
E: -6.147 eV per atom

Cell and atoms, written as extended XYZ:
```
5
Lattice="4.812 0.000 0.000 0.000 4.812 0.000 0.000 0.000 5.590" Properties=species:S:1:pos:R:3 pbc="T T T"
Mo 0.000 2.406 0.000
Mo 2.406 0.000 0.000
In 2.406 2.406 2.795
Hf 0.000 0.000 0.000
Sr 0.000 0.000 2.795
```



The following is a PBEsol calculation of a relaxed NaHfIn2Pt crystal, from the Alexandria database.

## Properties
E: -4.473 eV per atom

Cell and atoms, written as extended XYZ:
```
5
Lattice="-3.186 -2.558 -2.734 -0.309 -3.485 3.622 -3.823 2.519 2.098" Properties=species:S:1:pos:R:3 pbc="T T T"
Hf -3.659 -1.762 1.493
In -0.155 -1.743 1.811
Na -1.593 -1.279 -1.367
In -1.911 1.260 1.049
Pt 0.000 0.000 0.000
```



Taking the records one at a time from the top gives DOS(E_F) values of 5.62; 6.18; 3.24 states/eV/f.u..